Entry 1:
# PBE CdTcNO2, relaxed
# - Formation energy without anion corrections: -0.4308 eV/atom
# - Calculated volume: 60.5 Å³/cell
# - Crystal system: tetragonal
data_CdTcNO2
_chemical_formula_sum 'Cd1 Tc1 N1 O2'
_cell_length_a 3.9079
_cell_length_b 3.9079
_cell_length_c 3.9593
_cell_angle_alpha 90.00
_cell_angle_beta 90.00
_cell_angle_gamma 90.00
_symmetry_space_group_name_H-M 'P 4/m m m'
_symmetry_Int_Tables_number 123
_symmetry_space_group_name_Hall '-P 4 2'
loop_
_atom_site_label
_atom_site_fract_x
_atom_site_fract_y
_atom_site_fract_z
Cd1 0.0000 0.0000 0.0000
Tc1 0.5000 0.5000 0.5000
N1 0.5000 0.5000 0.0000
O1 0.0000 0.5000 0.5000

***

Entry 2:
# PBE La5ZnHg4, relaxed
# - Energy of formation from the pure elements: -465 meV/atom
# - Calculated volume: 292.2 Å³/cell
# - Crystal system: tetragonal
data_La5ZnHg4
_chemical_formula_sum 'La5 Zn1 Hg4'
_cell_length_a 3.8845
_cell_length_b 3.8845
_cell_length_c 19.3655
_cell_angle_alpha 90.00
_cell_angle_beta 90.00
_cell_angle_gamma 90.00
_symmetry_space_group_name_H-M 'P 4/m m m'
_symmetry_Int_Tables_number 123
_symmetry_space_group_name_Hall '-P 4 2'
loop_
_atom_site_label
_atom_site_fract_x
_atom_site_fract_y
_atom_site_fract_z
La1 0.0000 0.0000 0.0000
La2 0.0000 0.0000 0.2034
La3 0.0000 0.0000 0.4100
Zn1 0.5000 0.5000 0.5000
Hg1 0.5000 0.5000 0.1015
Hg2 0.5000 0.5000 0.3071